# 1
# TaAs2

TaAs2 after structural relaxation (PBE-GGA, Alexandria).

POSCAR file:
```
TaAs2
1.0
7.310 0.000 0.000
-3.655 6.331 0.000
0.000 0.000 3.456
Ta As
3 6
direct
0.000 0.000 0.000 Ta
0.333 0.667 0.500 Ta
0.667 0.333 0.500 Ta
0.000 0.274 0.500 As
0.000 0.618 0.000 As
0.274 0.000 0.500 As
0.382 0.382 0.000 As
0.618 0.000 0.000 As
0.726 0.726 0.500 As
```

Computed properties:
The value obtained for the density of states at the Fermi level is 0.447 states/eV per atom. Its space group is P-62m (189). The formation enthalpy at 0 K comes out at -0.2430 eV per atom.

=====

# 2
# TaAs3

TaAs3 after structural relaxation (PBE-GGA, Alexandria).

POSCAR file:
```
TaAs3
1.0
6.041 0.000 0.000
-3.020 5.231 0.000
0.000 0.000 4.778
Ta As
2 6
direct
0.333 0.667 0.250 Ta
0.667 0.333 0.750 Ta
0.187 0.374 0.750 As
0.187 0.813 0.750 As
0.374 0.187 0.250 As
0.626 0.813 0.750 As
0.813 0.187 0.250 As
0.813 0.626 0.250 As
```

Computed properties:
The value obtained for the density of states at the Fermi level is 0.663 states/eV per atom. Its space group is P6_3/mmc (194). The formation enthalpy at 0 K comes out at 0.2649 eV per atom.

=====

# 3
# TaAs2

TaAs2 after structural relaxation (PBE-GGA, Alexandria).

POSCAR file:
```
TaAs2
1.0
-1.721 1.721 4.287
1.721 -1.721 4.287
1.721 1.721 -4.287
Ta As
1 2
direct
0.000 0.000 0.000 Ta
0.338 0.338 0.000 As
0.662 0.662 0.000 As
```

Computed properties:
The value obtained for the density of states at the Fermi level is 0.413 states/eV per atom. Its space group is I4/mmm (139). The formation enthalpy at 0 K comes out at -0.2499 eV per atom.

=====

# 4
# Ta3As

Ta3As after structural relaxation (PBE-GGA, Alexandria).

POSCAR file:
```
Ta3As
1.0
0.000 3.267 3.267
3.267 0.000 3.267
3.267 3.267 0.000
Ta As
3 1
direct
0.000 0.000 0.000 Ta
0.250 0.250 0.250 Ta
0.750 0.750 0.750 Ta
0.500 0.500 0.500 As
```

Computed properties:
The value obtained for the density of states at the Fermi level is 0.645 states/eV per atom. Its space group is Fm-3m (225). The formation enthalpy at 0 K comes out at 0.1805 eV per atom.

=====

# 5
# Ta5As4

Ta5As4 after structural relaxation (PBE-GGA, Alexandria).

POSCAR file:
```
Ta5As4
1.0
-4.960 4.960 1.709
4.960 -4.960 1.709
4.960 4.960 -1.709
Ta As
5 4
direct
0.000 0.000 0.000 Ta
0.305 0.368 0.674 Ta
0.368 0.695 0.063 Ta
0.632 0.305 0.937 Ta
0.695 0.632 0.326 Ta
0.052 0.286 0.338 As
0.286 0.948 0.234 As
0.714 0.052 0.766 As
0.948 0.714 0.662 As
```

Computed properties:
The value obtained for the density of states at the Fermi level is 0.492 states/eV per atom. Its space group is I4/m (87). The formation enthalpy at 0 K comes out at -0.5202 eV per atom.

=====

# 6
# TaAs3

TaAs3 after structural relaxation (PBE-GGA, Alexandria).

POSCAR file:
```
TaAs3
1.0
2.941 -3.607 0.000
2.941 3.607 0.000
0.000 0.000 3.329
Ta As
1 3
direct
0.000 0.000 0.000 Ta
0.000 0.500 0.500 As
0.500 0.000 0.500 As
0.500 0.500 0.000 As
```

Computed properties:
The value obtained for the density of states at the Fermi level is 0.464 states/eV per atom. Its space group is Cmmm (65). The formation enthalpy at 0 K comes out at 0.2598 eV per atom.

=====

What is the formula in the second record? TaAs3